NaPrCoO3: optimized geometry, PBE with a Hubbard U.

a b c (Å): 5.343 5.343 9.862
angles (deg): 90.00 90.00 140.95
Atoms (fractional coordinates):
Na  0.240  0.760  0.750
Na  0.760  0.240  0.250
Pr  0.500  0.500  0.000
Pr  0.500  0.500  0.500
Co  0.035  0.965  0.250
Co  0.965  0.035  0.750
O  0.132  0.868  0.084
O  0.132  0.868  0.416
O  0.435  0.565  0.250
O  0.565  0.435  0.750
O  0.868  0.132  0.584
O  0.868  0.132  0.916

Results
- raw total energy (eV/atom) = -6.231